The following is a PBE-GGA calculation of a relaxed structure of ErThSb2, from Alexandria.

abc: 4.443 4.443 7.629
angles: 73.07 73.07 60.00
Atoms (fractional coordinates):
Er 0.000 0.000 0.000
Th 0.500 0.500 0.500
Sb 0.254 0.254 0.238
Sb 0.746 0.746 0.762

Results
* raw total energy: -6.057 eV per atom
* DOS(E_F): 2.01 states/eV/f.u.
* symmetry: R-3m (166)
* formation energy without anion corrections: -1.000 eV per atom